No. 1
# Na8Ag2Pb (PBE, relaxed)
# E_form (eV/atom): -0.02
# Raw total energy (eV per atom): -1.837
# ΔE to the lowest computed polymorph (eV per atom): 0.018
data_Na8Ag2Pb
_chemical_formula_sum 'Na8 Ag2 Pb1'
_cell_length_a 8.202
_cell_length_b 8.202
_cell_length_c 5.630
_cell_angle_alpha 98.88
_cell_angle_beta 98.88
_cell_angle_gamma 112.46
_symmetry_space_group_name_H-M 'P 1'
_symmetry_Int_Tables_number 1
_symmetry_space_group_name_Hall 'P 1'
loop_
_atom_site_label
_atom_site_fract_x
_atom_site_fract_y
_atom_site_fract_z
_atom_site_occupancy
Na1 0.064 0.308 0.580 1
Na2 0.238 0.762 0.000 1
Na3 0.308 0.064 0.580 1
Na4 0.369 0.369 0.173 1
Na5 0.631 0.631 0.827 1
Na6 0.692 0.936 0.420 1
Na7 0.762 0.238 0.000 1
Na8 0.936 0.692 0.420 1
Ag1 0.322 0.678 0.500 1
Ag2 0.678 0.322 0.500 1
Pb1 0.000 0.000 0.000 1

***

No. 2
# LiMg3F6 (PBE, relaxed)
# Energy relative to the elements, uncorrected (eV/atom): -3.032
# Raw total energy (eV per atom): -4.825
data_LiMg3F6
_chemical_formula_sum 'Li2 Mg6 F12'
_cell_length_a 6.140
_cell_length_b 6.140
_cell_length_c 6.140
_cell_angle_alpha 89.08
_cell_angle_beta 89.08
_cell_angle_gamma 89.08
_symmetry_space_group_name_H-M 'P 1'
_symmetry_Int_Tables_number 1
_symmetry_space_group_name_Hall 'P 1'
loop_
_atom_site_label
_atom_site_fract_x
_atom_site_fract_y
_atom_site_fract_z
_atom_site_occupancy
Li1 0.000 0.000 0.000 1
Li2 0.500 0.500 0.500 1
Mg1 0.039 0.580 0.747 1
Mg2 0.253 0.961 0.420 1
Mg3 0.420 0.253 0.961 1
Mg4 0.580 0.747 0.039 1
Mg5 0.747 0.039 0.580 1
Mg6 0.961 0.420 0.253 1
F1 0.052 0.921 0.690 1
F2 0.079 0.310 0.948 1
F3 0.173 0.617 0.433 1
F4 0.310 0.948 0.079 1
F5 0.383 0.567 0.827 1
F6 0.433 0.173 0.617 1
F7 0.567 0.827 0.383 1
F8 0.617 0.433 0.173 1
F9 0.690 0.052 0.921 1
F10 0.827 0.383 0.567 1
F11 0.921 0.690 0.052 1
F12 0.948 0.079 0.310 1

***

No. 3
# PbC3Cl (PBE, relaxed)
# Energy relative to the elements, uncorrected (eV/atom): 3.461
# Raw total energy (eV per atom): -3.184
# ΔE to the lowest computed polymorph (eV per atom): 0.250
data_PbC3Cl
_chemical_formula_sum 'Pb1 C3 Cl1'
_cell_length_a 4.638
_cell_length_b 4.638
_cell_length_c 4.638
_cell_angle_alpha 90.00
_cell_angle_beta 90.00
_cell_angle_gamma 90.00
_symmetry_space_group_name_H-M 'P 1'
_symmetry_Int_Tables_number 1
_symmetry_space_group_name_Hall 'P 1'
loop_
_atom_site_label
_atom_site_fract_x
_atom_site_fract_y
_atom_site_fract_z
_atom_site_occupancy
Pb1 0.000 0.000 0.000 1
C1 0.000 0.000 0.500 1
C2 0.000 0.500 0.000 1
C3 0.500 0.000 0.000 1
Cl1 0.500 0.500 0.500 1

***

No. 4
# Tb6Sm3Dy2Zr (PBE, relaxed)
# E_form (eV/atom): 0.04
# Raw total energy (eV per atom): -4.930
data_Tb6Sm3Dy2Zr
_chemical_formula_sum 'Tb6 Sm3 Dy2 Zr1'
_cell_length_a 6.128
_cell_length_b 6.128
_cell_length_c 11.719
_cell_angle_alpha 94.97
_cell_angle_beta 94.97
_cell_angle_gamma 119.92
_symmetry_space_group_name_H-M 'P 1'
_symmetry_Int_Tables_number 1
_symmetry_space_group_name_Hall 'P 1'
loop_
_atom_site_label
_atom_site_fract_x
_atom_site_fract_y
_atom_site_fract_z
_atom_site_occupancy
Tb1 0.081 0.408 0.743 1
Tb2 0.245 0.245 0.258 1
Tb3 0.408 0.081 0.743 1
Tb4 0.592 0.919 0.257 1
Tb5 0.755 0.755 0.742 1
Tb6 0.919 0.592 0.257 1
Sm1 0.166 0.834 0.000 1
Sm2 0.500 0.500 0.000 1
Sm3 0.834 0.166 0.000 1
Dy1 0.333 0.667 0.500 1
Dy2 0.667 0.333 0.500 1
Zr1 0.000 0.000 0.500 1

***

No. 5
# Rb2HfCdI6 (PBE, relaxed)
# Energy relative to the elements, uncorrected (eV/atom): -0.942
# Raw total energy (eV per atom): -3.153
data_Rb2HfCdI6
_chemical_formula_sum 'Rb2 Hf1 Cd1 I6'
_cell_length_a 8.978
_cell_length_b 8.978
_cell_length_c 8.978
_cell_angle_alpha 60.00
_cell_angle_beta 60.00
_cell_angle_gamma 60.00
_symmetry_space_group_name_H-M 'P 1'
_symmetry_Int_Tables_number 1
_symmetry_space_group_name_Hall 'P 1'
loop_
_atom_site_label
_atom_site_fract_x
_atom_site_fract_y
_atom_site_fract_z
_atom_site_occupancy
Rb1 0.250 0.250 0.250 1
Rb2 0.750 0.750 0.750 1
Hf1 0.000 0.000 0.000 1
Cd1 0.500 0.500 0.500 1
I1 0.226 0.226 0.774 1
I2 0.226 0.774 0.226 1
I3 0.226 0.774 0.774 1
I4 0.774 0.226 0.226 1
I5 0.774 0.226 0.774 1
I6 0.774 0.774 0.226 1

***

No. 6
# NaGeSe2 (PBE, relaxed)
# Energy relative to the elements, uncorrected (eV/atom): -0.523
# Raw total energy (eV per atom): -3.750
data_NaGeSe2
_chemical_formula_sum 'Na1 Ge1 Se2'
_cell_length_a 7.576
_cell_length_b 7.576
_cell_length_c 7.576
_cell_angle_alpha 29.45
_cell_angle_beta 29.45
_cell_angle_gamma 29.45
_symmetry_space_group_name_H-M 'P 1'
_symmetry_Int_Tables_number 1
_symmetry_space_group_name_Hall 'P 1'
loop_
_atom_site_label
_atom_site_fract_x
_atom_site_fract_y
_atom_site_fract_z
_atom_site_occupancy
Na1 0.000 0.000 0.000 1
Ge1 0.167 0.167 0.167 1
Se1 0.572 0.572 0.572 1
Se2 0.763 0.763 0.763 1